(1)
Below is a relaxed NbAlRh5 crystal, with properties calculated at the PBE level.

Computed properties:
- ΔE_f: -282 kJ/mol of formula units
- Uncorrected energy: -7.642 eV/atom

abc: 4.0244 4.0244 6.6017
angles: 90.00 90.00 90.00
Space group P4/mmm (No. 123)
Symmetry-distinct sites (fractional):
1 Nb 0.0000 0.0000 0.0000 [1 per cell]
2 Al 0.5000 0.5000 0.5000 [1 per cell]
3 Rh 0.0000 0.5000 0.2793 [4 per cell]
4 Rh 0.5000 0.5000 0.0000 [1 per cell]

(2)
Below is a relaxed Nb2AlRh crystal, with properties calculated at the PBE level.

Computed properties:
- ΔE_f: 35 kJ/mol of formula units
- Uncorrected energy: -7.719 eV/atom

abc: 7.3955 7.3955 5.2555
angles: 90.00 90.00 90.00
Space group I-42d (No. 122)
Symmetry-distinct sites (fractional):
1 Nb 0.2237 0.2500 0.1250 [8 per cell]
2 Al 0.0000 0.0000 0.5000 [4 per cell]
3 Rh 0.0000 0.0000 0.0000 [4 per cell]

(3)
Below is a relaxed NbAl5Rh4 crystal, with properties calculated at the PBE level.

Computed properties:
- ΔE_f: -902 kJ/mol of formula units
- Uncorrected energy: -6.754 eV/atom

abc: 2.9828 2.9828 15.9597
angles: 90.00 90.00 90.00
Space group P4/mmm (No. 123)
Symmetry-distinct sites (fractional):
1 Nb 0.0000 0.0000 0.0000 [1 per cell]
2 Al 0.5000 0.5000 0.1212 [2 per cell]
3 Al 0.5000 0.5000 0.3094 [2 per cell]
4 Al 0.5000 0.5000 0.5000 [1 per cell]
5 Rh 0.0000 0.0000 0.2153 [2 per cell]
6 Rh 0.0000 0.0000 0.4054 [2 per cell]

(4)
Below is a relaxed Nb4AlRh5 crystal, with properties calculated at the PBE level.

Computed properties:
- ΔE_f: -486 kJ/mol of formula units
- Uncorrected energy: -8.582 eV/atom

abc: 2.8652 3.8032 14.4014
angles: 90.00 90.00 90.00
Space group Pmmm (No. 47)
Symmetry-distinct sites (fractional):
1 Nb 0.0000 0.0000 0.0985 [2 per cell]
2 Nb 0.0000 0.0000 0.3009 [2 per cell]
3 Al 0.0000 0.0000 0.5000 [1 per cell]
4 Rh 0.5000 0.5000 0.0000 [1 per cell]
5 Rh 0.5000 0.5000 0.2016 [2 per cell]
6 Rh 0.5000 0.5000 0.4054 [2 per cell]

Question: Which of these has the lowest uncorrected energy?
Answer: Nb4AlRh5

Question: Which value of uncorrected energy does entry 1 give?
Answer: -7.642 eV/atom

Question: The lowest uncorrected energy belongs to which entry?
Answer: Nb4AlRh5